Model a:
The following is a PBE calculation of a relaxed KSrCd2 crystal, from Alexandria via LeMat-Bulk.

```
4
Lattice="-4.7410 2.3505 -0.4099 -4.4133 -0.8812 -2.8137 -4.3337 -4.5797 5.5662" Properties=species:S:1:pos:R:3 pbc="T T T"
Cd -4.2709 -4.4354 5.3808
Cd -6.8068 -1.6994 1.3567
K -3.3720 -0.7776 0.5857
Sr -10.1160 -2.3328 1.7570
```

Calculated values
The calculation puts the volume at 164.03 Å³/cell. The symmetry is C2/m.

Model b:
The following is a PBE calculation of a relaxed KSrCd2 crystal, from Alexandria via LeMat-Bulk.

```
4
Lattice="-1.2748 0.0618 -3.8575 2.8641 -2.7011 -0.9898 -5.9401 -6.9771 1.8513" Properties=species:S:1:pos:R:3 pbc="T T T"
Cd -0.3439 -2.6569 -2.0688
Sr -4.1273 -7.1008 -0.8897
K -2.6160 -3.0727 0.8153
Cd -0.2337 -0.2745 0.0728
```

Calculated values
The calculation puts the volume at 154.19 Å³/cell. The symmetry is P4mm.

Short version: model a is the least stable of them.

Model a:
The following is a PBE calculation of a relaxed KSrCd2 crystal, from Alexandria via LeMat-Bulk.

```
8
Lattice="-1.1663 -8.8427 2.2995 8.8641 -0.5330 2.4463 2.9443 -3.6578 5.8752" Properties=species:S:1:pos:R:3 pbc="T T T"
Cd 5.0559 -6.2569 6.1753
K 3.8489 -4.6878 2.3729
Sr 2.8134 -8.5941 5.2738
Cd 1.1100 -6.5466 3.2219
Cd 8.9827 -10.9494 8.5697
Cd 6.1355 -2.3140 3.2751
Sr 0.0000 0.0000 0.0000
K 7.8286 -4.4393 5.3472
```

Calculated values
The calculation puts the volume at 319.09 Å³/cell. The symmetry is I-42d.

Model b:
The following is a PBE calculation of a relaxed KSrCd2 crystal, from Alexandria via LeMat-Bulk.

```
4
Lattice="-4.2862 -1.8330 2.0153 -0.8562 -2.3682 -3.9751 2.7915 -6.1815 0.3146" Properties=species:S:1:pos:R:3 pbc="T T T"
Cd 2.6058 -6.5874 -0.4496
K 0.7792 -3.7521 -1.7555
Cd -1.5126 -2.5876 0.8287
Sr -0.4643 -7.9119 -1.7845
```

Calculated values
The calculation puts the volume at 152.35 Å³/cell. The symmetry is Pm.

Short version: model a is the least stable of them.

Model a:
The following is a PBE calculation of a relaxed K2SrCd2 crystal, from Alexandria via LeMat-Bulk.

```
10
Lattice="10.0243 0.0000 0.0000 0.0000 10.0243 0.0000 0.0000 0.0000 3.9965" Properties=species:S:1:pos:R:3 pbc="T T T"
Cd 6.8065 8.2299 1.9982
Cd 8.2299 3.2178 1.9982
Cd 3.2178 1.7944 1.9982
K 8.7885 6.2479 0.0000
K 3.7764 8.7885 0.0000
K 1.2358 3.7764 0.0000
Cd 1.7944 6.8065 1.9982
Sr 5.0121 5.0121 0.0000
Sr 0.0000 0.0000 0.0000
K 6.2479 1.2358 0.0000
```

Calculated values
The calculation puts the volume at 401.59 Å³/cell. The symmetry is P4/mbm.

Model b:
The following is a PBE calculation of a relaxed K2SrCd2 crystal, from Alexandria via LeMat-Bulk.

```
5
Lattice="5.0541 0.0000 0.0000 0.0000 5.0541 0.0000 2.5271 2.5271 8.1295" Properties=species:S:1:pos:R:3 pbc="T T T"
Cd 5.0541 5.0541 6.7029
K 5.0541 2.5271 4.0647
K 2.5271 5.0541 4.0647
Sr 0.0000 0.0000 0.0000
Cd 2.5271 2.5271 1.4266
```

Calculated values
The calculation puts the volume at 207.66 Å³/cell. The symmetry is I4/mmm.

Model c:
The following is a PBE calculation of a relaxed K2SrCd2 crystal, from Alexandria via LeMat-Bulk.

```
10
Lattice="8.7349 0.0000 0.0000 0.0000 8.7349 0.0000 0.0000 0.0000 5.7195" Properties=species:S:1:pos:R:3 pbc="T T T"
Cd 5.4195 1.0521 0.0000
K 1.4865 5.8539 2.8597
K 5.8539 7.2484 2.8597
Cd 7.6828 5.4195 0.0000
Cd 3.3154 7.6828 0.0000
K 7.2484 2.8809 2.8597
Cd 1.0521 3.3154 0.0000
Sr 4.3674 4.3674 0.0000
Sr 0.0000 0.0000 0.0000
K 2.8809 1.4865 2.8597
```

Calculated values
The calculation puts the volume at 436.38 Å³/cell. The symmetry is P4/mbm.

Short version: model a is the least stable of them.

Model a:
The following is a PBE calculation of a relaxed K2Sr2Cd crystal, from Alexandria via LeMat-Bulk.

```
10
Lattice="-0.6042 8.8758 -0.6564 -4.4124 0.2726 7.7480 5.7795 0.6351 3.2690" Properties=species:S:1:pos:R:3 pbc="T T T"
Cd -2.5083 4.5742 3.5458
Sr 1.9114 3.2277 2.7988
Sr -0.2073 2.0785 6.7679
Sr 0.9702 7.7051 3.5928
K -3.3574 7.7764 4.4248
K -3.9940 3.3965 6.4013
Cd 0.0000 0.0000 0.0000
K -1.6592 1.3720 2.6669
K -1.0226 5.7519 0.6904
Sr -1.1485 6.5559 7.5619
```

Calculated values
The calculation puts the volume at 530.79 Å³/cell. The symmetry is P4/mbm.

Model b:
The following is a PBE calculation of a relaxed K2Sr2Cd crystal, from Alexandria via LeMat-Bulk.

```
10
Lattice="8.8897 0.0000 0.0000 0.0000 8.8897 0.0000 0.0000 0.0000 7.2294" Properties=species:S:1:pos:R:3 pbc="T T T"
Sr 7.4274 5.9071 0.0000
Sr 5.9071 1.4623 0.0000
K 7.3757 2.9309 3.6147
K 2.9309 1.5140 3.6147
K 1.5140 5.9588 3.6147
Sr 2.9826 7.4274 0.0000
K 5.9588 7.3757 3.6147
Cd 4.4448 4.4448 0.0000
Sr 1.4623 2.9826 0.0000
Cd 0.0000 0.0000 0.0000
```

Calculated values
The calculation puts the volume at 571.31 Å³/cell. The symmetry is P4/mbm.

Short version: model a is the least stable of them.